# Cr2B2F

Crystalline Cr2B2F at its relaxed geometry (GGA+U, Alexandria via LeMat-Bulk).

POSCAR file:
```
Cr2B2F
1.0
-3.5582 2.5724 4.2671
-4.7171 -3.4277 -1.8671
0.7854 -2.1405 1.9454
B F Cr
4 2 4
direct
0.5911 0.9089 0.5000 B
0.0911 0.5911 0.5000 B
0.4089 0.0911 0.5000 B
0.9089 0.4089 0.5000 B
0.0000 0.0000 0.0000 F
0.5000 0.5000 0.0000 F
0.6974 0.1974 0.0000 Cr
0.8026 0.6974 0.0000 Cr
0.1974 0.3026 0.0000 Cr
0.3026 0.8026 0.0000 Cr
```

Calculated values
**DFT total energy**: -6.0732 eV per atom
**Polymorph energy (0 for the lowest one)**: 0 meV/atom